NaTbCuHg (GGA-PBE, relaxed); D(E_F) = 2.7 states/eV per cell; ρ = 8.227 Mg/m³; E_form = -0.09 eV/atom; V = 90 Å³/cell
1.0
5.0308 0.0000 0.0000
2.5154 4.3568 0.0000
2.5154 1.4523 4.1076
Hg Tb Na Cu
1 1 1 1
Direct
0.7500 0.7500 0.7500
0.0000 0.0000 0.0000
0.5000 0.5000 0.5000
0.2500 0.2500 0.2500